This record from the Alexandria database describes a geometry-optimized Ac2CeTl structure. The functional is PBE-GGA.

- SG: P4/mmm, No. 123
- Energy above the lowest structure with this stoichiometry: 0.000 eV per atom

POSCAR file:
```
Ac2CeTl
1.0
5.016 0.000 0.000
0.000 5.298 0.000
0.000 0.000 5.298
Ac Tl Ce
2 1 1
Direct
0.000 0.000 0.500
0.000 0.500 0.000
0.500 0.000 0.000
0.500 0.500 0.500
```